The following is a DFT calculation (PBE-GGA) of an optimized crystal structure of Ca2GaH.

Values from the calculation:
**Space group**: I-42d (122)
**ΔE to the lowest computed polymorph**: 56 meV/atom
**Crystal system**: tetragonal

Cell lengths 6.2316, 6.2316, 6.2316 Å; angles 112.12, 112.12, 104.30 degrees
Sites, in units of the cell vectors:
Ca  0.0333  0.6250  0.9083
Ca  0.3750  0.2833  0.4083
Ca  0.7167  0.1250  0.0917
Ca  0.8750  0.9667  0.5917
Ga  0.2500  0.7500  0.5000
Ga  0.5000  0.5000  0.0000
H  0.0000  0.0000  0.0000
H  0.7500  0.2500  0.5000